A plane-wave DFT calculation with PBE was carried out for MgCoW after structural relaxation.

```
3
Lattice="-2.810 0.590 2.908 0.764 -1.155 3.844 0.616 2.817 2.896" Properties=species:S:1:pos:R:3 pbc="T T T"
Mg 0.000 0.000 0.000
W -0.715 1.125 4.824
Co -1.072 1.688 7.236
```

Properties
ΔE to the lowest computed polymorph in meV/atom: 303
ΔE_f in eV per atom: 0.53
Total DFT energy (no corrections) in eV per atom: -6.688
Total magnetic moment in μB per cell: 0.00
Fermi-level density of states in states/eV per cell: 4.056

A plane-wave DFT calculation with PBE was carried out for Sc2SbIrW after structural relaxation.

```
5
Lattice="-1.050 3.993 -2.666 2.328 -2.038 -3.969 -4.229 -2.061 -1.422" Properties=species:S:1:pos:R:3 pbc="T T T"
Sb 1.164 -1.019 -1.985
Sc -0.525 1.997 -1.333
Sc -2.115 -1.031 -0.711
Ir -1.475 -0.053 -4.029
W 0.000 0.000 0.000
```

Properties
Total DFT energy (no corrections) in eV per atom: -6.774
Total magnetic moment in μB per cell: 0.00
Fermi-level density of states in states/eV per cell: 4.090

A plane-wave DFT calculation with PBE was carried out for Nd2Pt15Pb2 after structural relaxation.

```
19
Lattice="-2.757 6.224 -2.058 -3.397 -2.560 -5.699 -6.274 -0.881 3.230" Properties=species:S:1:pos:R:3 pbc="T T T"
Pt -5.321 -1.437 0.271
Pt -5.876 -0.294 -4.304
Pt -1.699 -1.280 -2.850
Pt -5.157 2.263 -4.553
Pt -2.969 3.314 -3.265
Pt -5.566 3.965 -2.539
Pt -3.185 0.350 -4.493
Pt -1.378 3.112 -1.029
Pt -4.350 -2.004 -2.741
Pt -3.137 -0.441 1.615
Pt -7.271 0.520 0.025
Pt -3.922 3.870 -0.306
Pt -5.109 1.473 1.478
Pt -6.551 3.077 -0.224
Pt -6.862 -1.182 -1.989
Nd -7.990 1.789 -2.911
Nd -4.438 0.994 -1.617
Pb -11.103 2.486 -4.045
Pb -1.325 0.297 -0.483
```

Properties
ΔE_f in eV per atom: -0.44
Total DFT energy (no corrections) in eV per atom: -6.100
Total magnetic moment in μB per cell: 0.00
Fermi-level density of states in states/eV per cell: 15.897

A plane-wave DFT calculation with PBE was carried out for MnAl2Br after structural relaxation.

```
4
Lattice="-0.802 3.882 -4.816 -4.905 3.685 -1.125 4.741 -1.867 3.598" Properties=species:S:1:pos:R:3 pbc="T T T"
Br -1.509 2.800 -0.248
Al -5.481 7.266 -5.704
Al -3.080 4.083 -3.206
Mn 0.542 2.899 -2.094
```

Properties
ΔE to the lowest computed polymorph in meV/atom: 233
Total DFT energy (no corrections) in eV per atom: -4.305
Total magnetic moment in μB per cell: 3.64
Fermi-level density of states in states/eV per cell: 2.385